# Ce5Mg4Zn4, optimized geometry, DFT GGA-PBE
data_Ce5Mg4Zn4
_space_group_name_H-M_alt 'I 4/m'
_space_group_IT_number 87
_space_group_name_Hall '-I 4'
_cell_length_a 11.6971
_cell_length_b 11.6971
_cell_length_c 4.6122
_cell_angle_alpha 90.00
_cell_angle_beta 90.00
_cell_angle_gamma 90.00
loop_
_atom_site_label
_atom_site_fract_x
_atom_site_fract_y
_atom_site_fract_z
_atom_site_occupancy
Ce1 0.0000 0.0000 0.0000 1
Ce2 0.1225 0.1944 0.5000 1
Mg1 0.0842 0.6038 0.5000 1
Zn1 0.0676 0.7444 0.0000 1
# formation energy	-0.085	eV per atom
# final energy	-3.250	eV per atom
# volume	24.27	A^3/atom